(1)
A plane-wave DFT calculation with PBE was carried out for a geometry-optimized Mn2TlRu2 structure.

a = 7.3551 Å, b = 7.3551 Å, c = 2.9187 Å
α = 90.00°, β = 90.00°, γ = 90.00°
Closest atoms and distances in Å follow each position.
Space group P4/mbm (No. 127)
Inequivalent atoms, fractional coordinates:
Mn 0.1567 0.3433 0.0000  6 Ru 2.59-2.63
Tl 0.0000 0.0000 0.5000  4 Ru 2.87, 2 Tl 2.92, 8 Mn 3.14
Ru 0.1331 0.6331 0.5000  6 Mn 2.59-2.63, 1 Ru 2.77, 2 Tl 2.87

Computed properties:
Formation energy in meV per atom: 386

=====

(2)
A plane-wave DFT calculation with PBE was carried out for a geometry-optimized ScMnS2 structure.

a = 6.3533 Å, b = 6.3533 Å, c = 6.3533 Å
α = 90.00°, β = 90.00°, γ = 90.00°
Closest atoms and distances in Å follow each position.
Space group Fm-3m (No. 225)
Inequivalent atoms, fractional coordinates:
Sc 0.0000 0.0000 0.0000  8 S 2.75
Mn 0.0000 0.0000 0.5000  8 S 2.75
S 0.2500 0.2500 0.2500  4 Mn 2.75, 4 Sc 2.75

Computed properties:
Energy relative to the elements, uncorrected in meV per atom: -880

=====

(3)
A plane-wave DFT calculation with PBE was carried out for a geometry-optimized Cs2Cd4InSn3 structure.

a = 5.0673 Å, b = 5.0673 Å, c = 12.6275 Å
α = 90.00°, β = 90.00°, γ = 90.00°
Closest atoms and distances in Å follow each position.
Space group P-4m2 (No. 115)
Inequivalent atoms, fractional coordinates:
Cs 0.0000 0.5000 0.2456  8 Cd 3.88-4.00, 6 Sn 3.88-4.09, 2 In 4.09
Cd 0.0000 0.0000 0.0000  4 Sn 3.00
Cd 0.0000 0.5000 0.6365  3 Sn 2.98-3.06, 2 In 3.06
Cd 0.5000 0.5000 0.0000  4 Sn 3.00
In 0.0000 0.0000 0.5000  4 Cd 3.06
Sn 0.0000 0.5000 0.8725  5 Cd 2.98-3.00
Sn 0.5000 0.5000 0.5000  4 Cd 3.06

Computed properties:
Formation energy in meV per atom: -114

=====

(4)
A plane-wave DFT calculation with PBE was carried out for a geometry-optimized Tm3Ge2Pd7 structure.

a = 4.0062 Å, b = 4.0062 Å, c = 27.3786 Å
α = 90.00°, β = 90.00°, γ = 90.00°
Closest atoms and distances in Å follow each position.
Space group I4/mmm (No. 139)
Inequivalent atoms, fractional coordinates:
Tm 0.0000 0.0000 0.0000  12 Pd 2.83-2.93
Tm 0.0000 0.0000 0.1744  5 Pd 2.81-3.13, 4 Ge 3.06
Ge 0.0000 0.0000 0.3679  5 Pd 2.49
Pd 0.0000 0.0000 0.2769  1 Ge 2.49
Pd 0.0000 0.0000 0.5000  4 Tm 2.83, 8 Pd 2.93
Pd 0.0000 0.5000 0.0780  2 Ge 2.49

Computed properties:
Formation energy in meV per atom: -830

=====

(5)
A plane-wave DFT calculation with PBE was carried out for a geometry-optimized KNb2S4 structure.

a = 3.7103 Å, b = 12.2780 Å, c = 12.6434 Å
α = 90.00°, β = 90.00°, γ = 90.00°
Closest atoms and distances in Å follow each position.
Space group Cmcm (No. 63)
Inequivalent atoms, fractional coordinates:
K 0.0000 0.1176 0.2500  6 S 3.05
Nb 0.0000 0.3819 0.0640  6 S 2.40-2.59
S 0.0000 0.0000 0.0000  4 Nb 2.49
S 0.0000 0.2606 0.5991  3 Nb 2.54-2.59
S 0.0000 0.4200 0.2500  2 Nb 2.40

Computed properties:
Energy relative to the elements, uncorrected in meV per atom: -952

=====

(6)
A plane-wave DFT calculation with PBE was carried out for a geometry-optimized ScIr3 structure.

a = 2.8314 Å, b = 3.8966 Å, c = 5.6517 Å
α = 90.00°, β = 90.00°, γ = 90.00°
Closest atoms and distances in Å follow each position.
Space group Pmmm (No. 47)
Inequivalent atoms, fractional coordinates:
Sc 0.0000 0.0000 0.0000  10 Ir 2.83, 2 Sc 2.83
Ir 0.0000 0.0000 0.5000  10 Ir 2.75-2.83, 2 Sc 2.83
Ir 0.5000 0.5000 0.2635  8 Ir 2.67-2.98, 4 Sc 2.83

Computed properties:
Formation energy in meV per atom: -390

=====

(7)
A plane-wave DFT calculation with PBE was carried out for a geometry-optimized Tm4Sn structure.

a = 5.6553 Å, b = 5.6553 Å, c = 5.6553 Å
α = 90.00°, β = 90.00°, γ = 90.00°
Closest atoms and distances in Å follow each position.
Space group Pm-3m (No. 221)
Inequivalent atoms, fractional coordinates:
Tm 0.0000 0.0000 0.0000  12 Tm 4.00
Tm 0.0000 0.5000 0.5000  2 Sn 2.83
Sn 0.5000 0.5000 0.5000  6 Tm 2.83

Computed properties:
Formation energy in meV per atom: 320

=====

(8)
A plane-wave DFT calculation with PBE was carried out for a geometry-optimized ScSiIr2 structure.

a = 3.7459 Å, b = 3.7624 Å, c = 8.5257 Å
α = 90.00°, β = 90.00°, γ = 90.00°
Closest atoms and distances in Å follow each position.
Space group Imm2 (No. 44)
Inequivalent atoms, fractional coordinates:
Sc 0.0000 0.0000 0.0000  8 Ir 2.65-2.84, 4 Si 2.84
Si 0.0000 0.5000 0.7505  8 Ir 2.65-2.85, 4 Sc 2.84
Ir 0.0000 0.0000 0.4994  4 Sc 2.65, 4 Si 2.83-2.85, 4 Ir 2.84
Ir 0.0000 0.5000 0.2497  4 Si 2.65, 4 Sc 2.84, 4 Ir 2.84

Computed properties:
Energy relative to the elements, uncorrected in meV per atom: -668

=====

(9)
A plane-wave DFT calculation with PBE was carried out for a geometry-optimized Tb5Ho3Tm2 structure.

a = 10.5597 Å, b = 15.5194 Å, c = 9.4478 Å
α = 90.00°, β = 123.70°, γ = 90.00°
Closest atoms and distances in Å follow each position.
Space group C2/c (No. 15)
Inequivalent atoms, fractional coordinates:
Tb 0.0000 0.0235 0.2500  5 Ho 3.20-3.40, 2 Tm 3.36, 2 Tb 3.49
Tb 0.0000 0.2749 0.7500  1 Tb 3.04, 2 Ho 3.28
Tb 0.0000 0.4710 0.7500  1 Tb 3.04, 2 Tm 3.31
Tb 0.2296 0.3790 0.2121  3 Ho 3.41-3.67, 2 Tm 3.42-3.64, 3 Tb 3.49-3.58
Ho 0.0000 0.2299 0.2500  3 Tb 3.20-3.51, 4 Tm 3.29-3.44, 2 Ho 3.40
Ho 0.1388 0.1265 0.0460  1 Tm 3.20, 6 Tb 3.28-3.53, 1 Ho 3.40
Tm 0.1586 0.3786 0.5474  3 Ho 3.20-3.44, 5 Tb 3.31-3.55

Computed properties:
Formation energy in meV per atom: 203

=====

(10)
A plane-wave DFT calculation with PBE was carried out for a geometry-optimized Ac2Ag2Ge structure.

a = 11.7787 Å, b = 4.5540 Å, c = 12.3131 Å
α = 90.00°, β = 118.06°, γ = 90.00°
Closest atoms and distances in Å follow each position.
Space group C2/m (No. 12)
Inequivalent atoms, fractional coordinates:
Ac 0.0863 0.0000 0.3883  6 Ag 3.29-3.45, 2 Ge 3.36
Ac 0.1913 0.5000 0.1348  4 Ge 3.28-3.60, 7 Ag 3.34-3.61
Ag 0.0452 0.0000 0.9138  2 Ge 2.69, 1 Ag 2.79
Ag 0.1295 0.5000 0.6147  1 Ge 2.82, 1 Ag 3.03
Ge 0.0920 0.5000 0.8249  3 Ag 2.69-2.82

Computed properties:
Formation energy in meV per atom: -421

=====

(11)
A plane-wave DFT calculation with PBE was carried out for a geometry-optimized Dy4ZnSe2Cl structure.

a = 7.1113 Å, b = 3.9710 Å, c = 7.1399 Å
α = 90.00°, β = 107.96°, γ = 90.00°
Closest atoms and distances in Å follow each position.
Space group P2/m (No. 10)
Inequivalent atoms, fractional coordinates:
Dy 0.2325 0.0000 0.2459  1 Zn 2.81, 3 Se 2.82-2.96, 2 Cl 2.95
Dy 0.2422 0.5000 0.7451  2 Zn 2.85, 3 Se 2.87-2.93, 1 Cl 2.90
Zn 0.0000 0.0000 0.5000  6 Dy 2.81-2.85
Se 0.0000 0.5000 0.0000  6 Dy 2.82-2.87
Se 0.5000 0.0000 0.0000  6 Dy 2.93-2.96
Cl 0.5000 0.5000 0.5000  6 Dy 2.90-2.95

Computed properties:
Energy relative to the elements, uncorrected in meV per atom: -1268

=====

(12)
A plane-wave DFT calculation with PBE was carried out for a geometry-optimized PrNdHoTh2 structure.

a = 6.7286 Å, b = 15.7907 Å, c = 6.7391 Å
α = 90.00°, β = 90.00°, γ = 90.00°
Closest atoms and distances in Å follow each position.
Space group Cmcm (No. 63)
Inequivalent atoms, fractional coordinates:
Pr 0.0000 0.2422 0.2500  4 Nd 3.66-3.76, 4 Ho 3.67-3.77
Nd 0.0000 0.3484 0.7500  1 Ho 3.12, 4 Th 3.38
Ho 0.0000 0.1506 0.7500  1 Nd 3.12, 4 Th 3.36
Th 0.2474 0.0000 0.0000  4 Th 3.33-3.40, 2 Ho 3.36, 2 Nd 3.38

Computed properties:
Formation energy in meV per atom: 366

=====

(13)
A plane-wave DFT calculation with PBE was carried out for a geometry-optimized AsAuSe2N structure.

a = 5.2650 Å, b = 5.2650 Å, c = 3.7868 Å
α = 90.00°, β = 90.00°, γ = 90.00°
Closest atoms and distances in Å follow each position.
Space group P4/mmm (No. 123)
Inequivalent atoms, fractional coordinates:
As 0.0000 0.0000 0.0000  8 Se 3.24
Au 0.5000 0.5000 0.5000  2 N 1.89
Se 0.0000 0.5000 0.5000  2 Au 2.63
N 0.5000 0.5000 0.0000  2 Au 1.89

Computed properties:
Energy relative to the elements, uncorrected in meV per atom: 1143

=====

(14)
A plane-wave DFT calculation with PBE was carried out for a geometry-optimized AcPm3PrHo structure.

a = 8.2755 Å, b = 5.2333 Å, c = 10.4493 Å
α = 90.00°, β = 108.67°, γ = 90.00°
Closest atoms and distances in Å follow each position.
Space group P2_1/m (No. 11)
Inequivalent atoms, fractional coordinates:
Ac 0.1684 0.2500 0.2934  3 Ho 3.66-3.70, 8 Pm 3.71-3.73, 1 Pr 3.72
Pm 0.1700 0.7500 0.0406  3 Pr 3.65-3.70, 1 Ho 3.69, 5 Pm 3.69-3.77, 3 Ac 3.71-3.72
Pm 0.1710 0.2500 0.7914  3 Pr 3.65-3.69, 1 Ho 3.66, 6 Pm 3.67-3.77, 2 Ac 3.73
Pm 0.1720 0.7500 0.5454  1 Pr 3.62, 3 Ho 3.66-3.71, 5 Pm 3.67-3.76, 3 Ac 3.71-3.72
Pr 0.4964 0.7500 0.8741  7 Pm 3.62-3.70, 2 Ho 3.69, 2 Pr 3.70, 1 Ac 3.72
Ho 0.4983 0.2500 0.6253  5 Pm 3.66-3.71, 3 Ac 3.66-3.70, 2 Pr 3.69, 2 Ho 3.71

Computed properties:
Formation energy in meV per atom: 35

=====

(15)
A plane-wave DFT calculation with PBE was carried out for a geometry-optimized BaCd6 structure.

a = 7.8811 Å, b = 7.8811 Å, c = 7.8811 Å
α = 90.00°, β = 90.00°, γ = 90.00°
Closest atoms and distances in Å follow each position.
Space group Im-3m (No. 229)
Inequivalent atoms, fractional coordinates:
Ba 0.0000 0.0000 0.0000  24 Cd 4.41
Cd 0.0000 0.2500 0.5000  4 Cd 2.79

Computed properties:
Formation energy in meV per atom: 62

=====

(16)
A plane-wave DFT calculation with PBE was carried out for a geometry-optimized CeHF structure.

a = 3.3719 Å, b = 3.3719 Å, c = 7.2011 Å
α = 90.00°, β = 90.00°, γ = 90.00°
Closest atoms and distances in Å follow each position.
Space group I4mm (No. 107)
Inequivalent atoms, fractional coordinates:
Ce 0.0000 0.0000 0.0000  5 F 2.44-2.65, 5 H 2.48-2.64
H 0.0000 0.0000 0.3437  1 F 2.29, 1 Ce 2.48
F 0.0000 0.0000 0.6611  1 H 2.29, 1 Ce 2.44

Computed properties:
Final energy in eV/atom: -5.422

=====

(17)
A plane-wave DFT calculation with PBE was carried out for a geometry-optimized BPt structure.

a = 4.2789 Å, b = 5.2607 Å, c = 4.3050 Å
α = 90.00°, β = 103.69°, γ = 90.00°
Closest atoms and distances in Å follow each position.
Space group C2 (No. 5)
Inequivalent atoms, fractional coordinates:
B 0.1735 0.0000 0.1732  1 B 1.84
Pt 0.2017 0.5987 0.2968  5 B 2.17-2.28

Computed properties:
Formation energy in meV per atom: -92

=====

(18)
A plane-wave DFT calculation with PBE was carried out for a geometry-optimized Li2CaAl structure.

a = 4.0715 Å, b = 4.7333 Å, c = 4.9212 Å
α = 90.00°, β = 90.00°, γ = 90.00°
Closest atoms and distances in Å follow each position.
Space group Pmmm (No. 47)
Inequivalent atoms, fractional coordinates:
Li 0.0000 0.0000 0.0000  4 Al 3.12, 4 Li 3.19, 4 Ca 3.41
Li 0.5000 0.0000 0.5000  4 Ca 3.12, 4 Li 3.19, 4 Al 3.41
Ca 0.0000 0.5000 0.5000  8 Li 3.12-3.41, 4 Al 3.19
Al 0.5000 0.5000 0.0000  8 Li 3.12-3.41, 4 Ca 3.19

Computed properties:
Formation energy in meV per atom: 13

=====

(19)
A plane-wave DFT calculation with PBE was carried out for a geometry-optimized NdHo2Cd structure.

a = 3.6164 Å, b = 3.6164 Å, c = 32.3595 Å
α = 90.00°, β = 90.00°, γ = 120.00°
Closest atoms and distances in Å follow each position.
Space group R3m (No. 160, hexagonal axes)
Inequivalent atoms, fractional coordinates:
Nd 0.0000 0.0000 0.0000  6 Ho 3.61, 6 Nd 3.62
Ho 0.0000 0.0000 0.5758  3 Cd 3.23, 3 Nd 3.61
Ho 0.0000 0.0000 0.7576  3 Cd 3.22
Cd 0.0000 0.0000 0.1665  6 Ho 3.22-3.23

Computed properties:
Formation energy in meV per atom: -55

=====

(20)
A plane-wave DFT calculation with PBE was carried out for a geometry-optimized NaYB3 structure.

a = 4.8194 Å, b = 4.8194 Å, c = 4.8194 Å
α = 90.00°, β = 90.00°, γ = 90.00°
Closest atoms and distances in Å follow each position.
Space group Pm-3m (No. 221)
Inequivalent atoms, fractional coordinates:
Na 0.0000 0.0000 0.0000  12 B 3.41
Y 0.5000 0.5000 0.5000  6 B 2.41
B 0.0000 0.5000 0.5000  2 Y 2.41

Computed properties:
Formation energy in meV per atom: 1912

=====

(21)
A plane-wave DFT calculation with PBE was carried out for a geometry-optimized Li2HW2 structure.

a = 3.4970 Å, b = 3.4970 Å, c = 16.1503 Å
α = 90.00°, β = 90.00°, γ = 90.00°
Closest atoms and distances in Å follow each position.
Space group I4/mmm (No. 139)
Inequivalent atoms, fractional coordinates:
Li 0.0000 0.0000 0.0874  1 Li 2.82, 4 H 2.85, 4 W 3.15
H 0.0000 0.0000 0.5000  8 Li 2.85
W 0.0000 0.5000 0.2500  4 W 2.47

Computed properties:
Final energy in eV/atom: -5.654

=====

(22)
A plane-wave DFT calculation with PBE was carried out for a geometry-optimized CoMo2Cl structure.

a = 2.8890 Å, b = 2.8890 Å, c = 6.7694 Å
α = 90.00°, β = 90.00°, γ = 90.00°
Closest atoms and distances in Å follow each position.
Space group P4/mmm (No. 123)
Inequivalent atoms, fractional coordinates:
Co 0.0000 0.0000 0.0000  8 Mo 2.59, 4 Co 2.89
Mo 0.5000 0.5000 0.2355  4 Co 2.59, 4 Cl 2.72, 4 Mo 2.89
Cl 0.0000 0.0000 0.5000  8 Mo 2.72, 4 Cl 2.89

Computed properties:
Energy relative to the elements, uncorrected in meV per atom: 408

=====

(23)
A plane-wave DFT calculation with PBE was carried out for a geometry-optimized AlBMo2 structure.

a = 3.0566 Å, b = 3.0566 Å, c = 22.9703 Å
α = 90.00°, β = 90.00°, γ = 120.00°
Closest atoms and distances in Å follow each position.
Space group R-3m (No. 166, hexagonal axes)
Inequivalent atoms, fractional coordinates:
Al 0.0000 0.0000 0.0000  2 Mo 2.61
B 0.0000 0.0000 0.5000  6 Mo 2.15
Mo 0.0000 0.0000 0.1136  3 B 2.15

Computed properties:
Formation energy in meV per atom: 174

=====

(24)
A plane-wave DFT calculation with PBE was carried out for a geometry-optimized SrLi2CuPd structure.

a = 4.6265 Å, b = 4.6265 Å, c = 5.0218 Å
α = 90.00°, β = 90.00°, γ = 90.00°
Closest atoms and distances in Å follow each position.
Space group P4/mmm (No. 123)
Inequivalent atoms, fractional coordinates:
Sr 0.0000 0.0000 0.0000  4 Pd 3.27, 8 Li 3.41
Li 0.0000 0.5000 0.5000  2 Cu 2.31
Cu 0.5000 0.5000 0.5000  4 Li 2.31, 2 Pd 2.51
Pd 0.5000 0.5000 0.0000  2 Cu 2.51

Computed properties:
Formation energy in meV per atom: -117

=====

(25)
A plane-wave DFT calculation with PBE was carried out for a geometry-optimized Y5Co2Au2 structure.

a = 15.7506 Å, b = 7.2472 Å, c = 7.3344 Å
α = 90.00°, β = 90.00°, γ = 90.00°
Closest atoms and distances in Å follow each position.
Space group Cmce (No. 64)
Inequivalent atoms, fractional coordinates:
Y 0.0000 0.0000 0.0000  4 Co 2.95-2.97
Y 0.1293 0.1781 0.3216  3 Co 2.95-2.99, 3 Au 2.98-3.08
Co 0.0000 0.1084 0.6098  1 Co 2.25
Au 0.2134 0.0000 0.0000  6 Y 2.98-3.08

Computed properties:
Formation energy in meV per atom: -473

=====

| no. | density of states at the Fermi level (states/eV/cell) | M_tot (μB/cell) |
| --- | --- | --- |
| 1 | 13.306 | 10.9 |
| 2 | 13.849 | 15.9 |
| 3 | 5.144 | 0.0 |
| 4 | 15.187 | 0.0 |
| 5 | 16.789 | 0.0 |
| 6 | 5.108 | 0.0 |
| 7 | 9.061 | 0.0 |
| 8 | 3.630 | 0.0 |
| 9 | 75.538 | 0.0 |
| 10 | 13.805 | 0.0 |
| 11 | 4.045 | 0.0 |
| 12 | 31.206 | 0.0 |
| 13 | 3.006 | 0.0 |
| 14 | 20.020 | 0.0 |
| 15 | 12.308 | 0.0 |
| 16 | 10.944 | 3.0 |
| 17 | 2.003 | 0.0 |
| 18 | 2.558 | 0.0 |
| 19 | 14.284 | 0.0 |
| 20 | 6.335 | 0.0 |
| 21 | 8.593 | 0.0 |
| 22 | 3.643 | 1.6 |
| 23 | 8.154 | 0.0 |
| 24 | 2.360 | 0.0 |
| 25 | 33.172 | 0.0 |